Record 1
The following is a PBE calculation of a relaxed BaCr2Cl crystal, from the Alexandria database.

Magnetic moment in μB per formula unit: 3.1
Offset from the most stable computed form in meV per atom: 909.3

Geometry as CIF:
```
data_BaCr2Cl
_cell_length_a 3.872
_cell_length_b 6.591
_cell_length_c 3.891
_cell_angle_alpha 90.00
_cell_angle_beta 94.96
_cell_angle_gamma 90.00
_space_group_name_H-M_alt 'P 1 2/m 1'
_space_group_IT_number 10
_space_group_name_Hall '-P 2y'
loop_
_atom_site_label
_atom_site_type_symbol
_atom_site_fract_x
_atom_site_fract_y
_atom_site_fract_z
_atom_site_occupancy
Ba1 Ba 0.000 0.000 0.000 1
Cr1 Cr 0.500 0.360 0.500 1
Cl1 Cl 0.000 0.500 0.000 1
```



Record 2
The following is a PBE calculation of a relaxed BaCr2Cl crystal, from the Alexandria database.

Magnetic moment in μB per formula unit: 9.5
Offset from the most stable computed form in meV per atom: 249.0

Geometry as CIF:
```
data_BaCr2Cl
_cell_length_a 3.733
_cell_length_b 4.880
_cell_length_c 12.641
_cell_angle_alpha 90.00
_cell_angle_beta 90.00
_cell_angle_gamma 90.00
_space_group_name_H-M_alt 'I m m m'
_space_group_IT_number 71
_space_group_name_Hall '-I 2 2'
loop_
_atom_site_label
_atom_site_type_symbol
_atom_site_fract_x
_atom_site_fract_y
_atom_site_fract_z
_atom_site_occupancy
Ba1 Ba 0.000 0.000 0.000 1
Cr1 Cr 0.000 0.500 0.245 1
Cl1 Cl 0.000 0.000 0.500 1
```



Record 3
The following is a PBE calculation of a relaxed Ba2CrCl crystal, from the Alexandria database.

Magnetic moment in μB per formula unit: 4.8
Offset from the most stable computed form in meV per atom: 78.0

Geometry as CIF:
```
data_Ba2CrCl
_cell_length_a 4.110
_cell_length_b 4.374
_cell_length_c 17.325
_cell_angle_alpha 90.00
_cell_angle_beta 90.00
_cell_angle_gamma 90.00
_space_group_name_H-M_alt 'I m m 2'
_space_group_IT_number 44
_space_group_name_Hall 'I 2 -2'
loop_
_atom_site_label
_atom_site_type_symbol
_atom_site_fract_x
_atom_site_fract_y
_atom_site_fract_z
_atom_site_occupancy
Ba1 Ba 0.000 0.000 0.000 1
Ba2 Ba 0.000 0.500 0.242 1
Cr1 Cr 0.000 0.000 0.398 1
Cl1 Cl 0.000 0.500 0.665 1
```



Record 4
The following is a PBE calculation of a relaxed BaCr3Cl crystal, from the Alexandria database.

E in eV per atom: -5.580
Magnetic moment in μB per formula unit: 13.0

Geometry as CIF:
```
data_BaCr3Cl
_cell_length_a 5.126
_cell_length_b 5.126
_cell_length_c 5.126
_cell_angle_alpha 90.00
_cell_angle_beta 90.00
_cell_angle_gamma 90.00
_space_group_name_H-M_alt 'P m -3 m'
_space_group_IT_number 221
_space_group_name_Hall '-P 4 2 3'
loop_
_atom_site_label
_atom_site_type_symbol
_atom_site_fract_x
_atom_site_fract_y
_atom_site_fract_z
_atom_site_occupancy
Ba1 Ba 0.000 0.000 0.000 1
Cr1 Cr 0.000 0.500 0.500 1
Cl1 Cl 0.500 0.500 0.500 1
```



Record 5
The following is a PBE calculation of a relaxed BaCr2Cl crystal, from the Alexandria database.

Magnetic moment in μB per formula unit: 0.0
Offset from the most stable computed form in meV per atom: 1651.9

Geometry as CIF:
```
data_BaCr2Cl
_cell_length_a 6.576
_cell_length_b 6.576
_cell_length_c 6.576
_cell_angle_alpha 90.00
_cell_angle_beta 90.00
_cell_angle_gamma 90.00
_space_group_name_H-M_alt 'F m -3 m'
_space_group_IT_number 225
_space_group_name_Hall '-F 4 2 3'
loop_
_atom_site_label
_atom_site_type_symbol
_atom_site_fract_x
_atom_site_fract_y
_atom_site_fract_z
_atom_site_occupancy
Ba1 Ba 0.000 0.000 0.000 1
Cr1 Cr 0.250 0.250 0.250 1
Cl1 Cl 0.000 0.000 0.500 1
```



Record 6
The following is a PBE calculation of a relaxed BaCr2Cl crystal, from the Alexandria database.

Magnetic moment in μB per formula unit: 0.3
Offset from the most stable computed form in meV per atom: 5.8

Geometry as CIF:
```
data_BaCr2Cl
_cell_length_a 7.658
_cell_length_b 4.439
_cell_length_c 7.488
_cell_angle_alpha 90.00
_cell_angle_beta 109.81
_cell_angle_gamma 90.00
_space_group_name_H-M_alt 'C 1 m 1'
_space_group_IT_number 8
_space_group_name_Hall 'C -2y'
loop_
_atom_site_label
_atom_site_type_symbol
_atom_site_fract_x
_atom_site_fract_y
_atom_site_fract_z
_atom_site_occupancy
Ba1 Ba 0.000 0.000 0.000 1
Cr1 Cr 0.274 0.500 0.325 1
Cr2 Cr 0.460 0.000 0.382 1
Cl1 Cl 0.076 0.500 0.728 1
```



Record 7
The following is a PBE calculation of a relaxed Ba2CrCl6 crystal, from the Alexandria database.

Magnetic moment in μB per formula unit: 4.0
Offset from the most stable computed form in meV per atom: 103.1

Geometry as CIF:
```
data_Ba2CrCl6
_cell_length_a 6.855
_cell_length_b 6.855
_cell_length_c 13.089
_cell_angle_alpha 90.00
_cell_angle_beta 90.00
_cell_angle_gamma 90.00
_space_group_name_H-M_alt 'P 42/m n m'
_space_group_IT_number 136
_space_group_name_Hall '-P 4n 2n'
loop_
_atom_site_label
_atom_site_type_symbol
_atom_site_fract_x
_atom_site_fract_y
_atom_site_fract_z
_atom_site_occupancy
Ba1 Ba 0.000 0.000 0.167 1
Cr1 Cr 0.000 0.000 0.500 1
Cl1 Cl 0.176 0.176 0.366 1
Cl2 Cl 0.214 0.214 0.000 1
```



Record 8
The following is a PBE calculation of a relaxed BaCr2Cl crystal, from the Alexandria database.

Magnetic moment in μB per formula unit: 9.9
Offset from the most stable computed form in meV per atom: 263.9

Geometry as CIF:
```
data_BaCr2Cl
_cell_length_a 4.346
_cell_length_b 4.346
_cell_length_c 6.311
_cell_angle_alpha 90.00
_cell_angle_beta 90.00
_cell_angle_gamma 90.00
_space_group_name_H-M_alt 'P 4/m m m'
_space_group_IT_number 123
_space_group_name_Hall '-P 4 2'
loop_
_atom_site_label
_atom_site_type_symbol
_atom_site_fract_x
_atom_site_fract_y
_atom_site_fract_z
_atom_site_occupancy
Ba1 Ba 0.000 0.000 0.000 1
Cr1 Cr 0.000 0.500 0.500 1
Cl1 Cl 0.500 0.500 0.000 1
```



Record 9
The following is a PBE calculation of a relaxed Ba3Cr5Cl12 crystal, from the Alexandria database.

E in eV per atom: -5.112
Magnetic moment in μB per formula unit: 24.0

Geometry as CIF:
```
data_Ba3Cr5Cl12
_cell_length_a 16.451
_cell_length_b 16.451
_cell_length_c 16.451
_cell_angle_alpha 90.00
_cell_angle_beta 90.00
_cell_angle_gamma 90.00
_space_group_name_H-M_alt 'I a -3 d'
_space_group_IT_number 230
_space_group_name_Hall '-I 4bd 2c 3'
loop_
_atom_site_label
_atom_site_type_symbol
_atom_site_fract_x
_atom_site_fract_y
_atom_site_fract_z
_atom_site_occupancy
Ba1 Ba 0.000 0.250 0.125 1
Cr1 Cr 0.000 0.000 0.000 1
Cr2 Cr 0.000 0.250 0.375 1
Cl1 Cl 0.030 0.057 0.648 1
```



Record 10
The following is a PBE calculation of a relaxed BaCr2Cl crystal, from the Alexandria database.

Magnetic moment in μB per formula unit: 0.3
Offset from the most stable computed form in meV per atom: 0.0

Geometry as CIF:
```
data_BaCr2Cl
_cell_length_a 3.538
_cell_length_b 3.618
_cell_length_c 15.406
_cell_angle_alpha 90.00
_cell_angle_beta 90.00
_cell_angle_gamma 90.00
_space_group_name_H-M_alt 'A m m 2'
_space_group_IT_number 38
_space_group_name_Hall 'A 2 -2'
loop_
_atom_site_label
_atom_site_type_symbol
_atom_site_fract_x
_atom_site_fract_y
_atom_site_fract_z
_atom_site_occupancy
Ba1 Ba 0.000 0.000 0.000 1
Cr1 Cr 0.000 0.000 0.221 1
Cr2 Cr 0.500 0.000 0.664 1
Cl1 Cl 0.500 0.000 0.368 1
```



Record 11
The following is a PBE calculation of a relaxed BaCr2Cl crystal, from the Alexandria database.

Magnetic moment in μB per formula unit: 9.3
Offset from the most stable computed form in meV per atom: 270.1

Geometry as CIF:
```
data_BaCr2Cl
_cell_length_a 4.080
_cell_length_b 4.080
_cell_length_c 7.240
_cell_angle_alpha 90.00
_cell_angle_beta 90.00
_cell_angle_gamma 90.00
_space_group_name_H-M_alt 'P 4 m m'
_space_group_IT_number 99
_space_group_name_Hall 'P 4 -2'
loop_
_atom_site_label
_atom_site_type_symbol
_atom_site_fract_x
_atom_site_fract_y
_atom_site_fract_z
_atom_site_occupancy
Ba1 Ba 0.000 0.000 0.000 1
Cr1 Cr 0.000 0.000 0.562 1
Cr2 Cr 0.500 0.500 0.631 1
Cl1 Cl 0.500 0.500 0.165 1
```



Record 12
The following is a PBE calculation of a relaxed Ba2CrCl crystal, from the Alexandria database.

Magnetic moment in μB per formula unit: 5.3
Offset from the most stable computed form in meV per atom: 615.2

Geometry as CIF:
```
data_Ba2CrCl
_cell_length_a 8.259
_cell_length_b 8.259
_cell_length_c 8.259
_cell_angle_alpha 90.00
_cell_angle_beta 90.00
_cell_angle_gamma 90.00
_space_group_name_H-M_alt 'F -4 3 m'
_space_group_IT_number 216
_space_group_name_Hall 'F -4 2 3'
loop_
_atom_site_label
_atom_site_type_symbol
_atom_site_fract_x
_atom_site_fract_y
_atom_site_fract_z
_atom_site_occupancy
Ba1 Ba 0.000 0.000 0.000 1
Ba2 Ba 0.250 0.250 0.250 1
Cr1 Cr 0.000 0.000 0.500 1
Cl1 Cl 0.250 0.250 0.750 1
```



Record 13
The following is a PBE calculation of a relaxed BaCr2Cl crystal, from the Alexandria database.

Magnetic moment in μB per formula unit: 0.0
Offset from the most stable computed form in meV per atom: 636.8

Geometry as CIF:
```
data_BaCr2Cl
_cell_length_a 4.0897
_cell_length_b 4.0897
_cell_length_c 17.9691
_cell_angle_alpha 90.00
_cell_angle_beta 90.00
_cell_angle_gamma 120.00
_space_group_name_H-M_alt 'R -3 m'
_space_group_IT_number 166
_space_group_name_Hall '-R 3 2"'
loop_
_atom_site_label
_atom_site_type_symbol
_atom_site_fract_x
_atom_site_fract_y
_atom_site_fract_z
_atom_site_occupancy
Ba1 Ba 0.0000 0.0000 0.0000 1
Cr1 Cr 0.0000 0.0000 0.1801 1
Cl1 Cl 0.0000 0.0000 0.5000 1
```



Record 14
The following is a PBE calculation of a relaxed Ba2Cr2Cl crystal, from the Alexandria database.

Magnetic moment in μB per formula unit: 0.0
Offset from the most stable computed form in meV per atom: 220.2

Geometry as CIF:
```
data_Ba2Cr2Cl
_cell_length_a 6.358
_cell_length_b 6.358
_cell_length_c 8.343
_cell_angle_alpha 90.00
_cell_angle_beta 90.00
_cell_angle_gamma 90.00
_space_group_name_H-M_alt 'I 4/m m m'
_space_group_IT_number 139
_space_group_name_Hall '-I 4 2'
loop_
_atom_site_label
_atom_site_type_symbol
_atom_site_fract_x
_atom_site_fract_y
_atom_site_fract_z
_atom_site_occupancy
Ba1 Ba 0.000 0.500 0.250 1
Cr1 Cr 0.000 0.000 0.105 1
Cl1 Cl 0.000 0.000 0.500 1
```



Record 15
The following is a PBE calculation of a relaxed BaCrCl4 crystal, from the Alexandria database.

Magnetic moment in μB per formula unit: 4.0
Offset from the most stable computed form in meV per atom: 1369.5

Geometry as CIF:
```
data_BaCrCl4
_cell_length_a 8.652
_cell_length_b 8.652
_cell_length_c 8.652
_cell_angle_alpha 90.00
_cell_angle_beta 90.00
_cell_angle_gamma 90.00
_space_group_name_H-M_alt 'F -4 3 m'
_space_group_IT_number 216
_space_group_name_Hall 'F -4 2 3'
loop_
_atom_site_label
_atom_site_type_symbol
_atom_site_fract_x
_atom_site_fract_y
_atom_site_fract_z
_atom_site_occupancy
Ba1 Ba 0.000 0.000 0.000 1
Cr1 Cr 0.250 0.250 0.250 1
Cl1 Cl 0.125 0.125 0.625 1
```



Record 16
The following is a PBE calculation of a relaxed Ba2Cr2Cl crystal, from the Alexandria database.

Magnetic moment in μB per formula unit: 0.0
Offset from the most stable computed form in meV per atom: 0.0

Geometry as CIF:
```
data_Ba2Cr2Cl
_cell_length_a 9.086
_cell_length_b 9.086
_cell_length_c 3.996
_cell_angle_alpha 90.00
_cell_angle_beta 90.00
_cell_angle_gamma 90.00
_space_group_name_H-M_alt 'P 4/m b m'
_space_group_IT_number 127
_space_group_name_Hall '-P 4 2ab'
loop_
_atom_site_label
_atom_site_type_symbol
_atom_site_fract_x
_atom_site_fract_y
_atom_site_fract_z
_atom_site_occupancy
Ba1 Ba 0.205 0.295 0.000 1
Cr1 Cr 0.068 0.568 0.500 1
Cl1 Cl 0.000 0.000 0.500 1
```



Record 17
The following is a PBE calculation of a relaxed Ba2CrCl crystal, from the Alexandria database.

Magnetic moment in μB per formula unit: 4.7
Offset from the most stable computed form in meV per atom: 85.8

Geometry as CIF:
```
data_Ba2CrCl
_cell_length_a 3.872
_cell_length_b 5.970
_cell_length_c 5.996
_cell_angle_alpha 90.00
_cell_angle_beta 90.00
_cell_angle_gamma 90.00
_space_group_name_H-M_alt 'P m m m'
_space_group_IT_number 47
_space_group_name_Hall '-P 2 2'
loop_
_atom_site_label
_atom_site_type_symbol
_atom_site_fract_x
_atom_site_fract_y
_atom_site_fract_z
_atom_site_occupancy
Ba1 Ba 0.000 0.000 0.000 1
Ba2 Ba 0.000 0.500 0.500 1
Cr1 Cr 0.500 0.000 0.500 1
Cl1 Cl 0.500 0.500 0.000 1
```



Record 18
The following is a PBE calculation of a relaxed BaCr4Cl crystal, from the Alexandria database.

E in eV per atom: -5.845
Magnetic moment in μB per formula unit: 0.0

Geometry as CIF:
```
data_BaCr4Cl
_cell_length_a 7.767
_cell_length_b 7.767
_cell_length_c 7.767
_cell_angle_alpha 90.00
_cell_angle_beta 90.00
_cell_angle_gamma 90.00
_space_group_name_H-M_alt 'F -4 3 m'
_space_group_IT_number 216
_space_group_name_Hall 'F -4 2 3'
loop_
_atom_site_label
_atom_site_type_symbol
_atom_site_fract_x
_atom_site_fract_y
_atom_site_fract_z
_atom_site_occupancy
Ba1 Ba 0.000 0.000 0.000 1
Cr1 Cr 0.145 0.145 0.355 1
Cl1 Cl 0.250 0.250 0.750 1
```



Record 19
The following is a PBE calculation of a relaxed BaCr2Cl crystal, from the Alexandria database.

Magnetic moment in μB per formula unit: 9.6
Offset from the most stable computed form in meV per atom: 616.6

Geometry as CIF:
```
data_BaCr2Cl
_cell_length_a 3.532
_cell_length_b 3.532
_cell_length_c 8.702
_cell_angle_alpha 90.00
_cell_angle_beta 90.00
_cell_angle_gamma 90.00
_space_group_name_H-M_alt 'P 4/m m m'
_space_group_IT_number 123
_space_group_name_Hall '-P 4 2'
loop_
_atom_site_label
_atom_site_type_symbol
_atom_site_fract_x
_atom_site_fract_y
_atom_site_fract_z
_atom_site_occupancy
Ba1 Ba 0.000 0.000 0.000 1
Cr1 Cr 0.500 0.500 0.310 1
Cl1 Cl 0.000 0.000 0.500 1
```



Record 20
The following is a PBE calculation of a relaxed Ba2CrCl crystal, from the Alexandria database.

Magnetic moment in μB per formula unit: 5.5
Offset from the most stable computed form in meV per atom: 0.0

Geometry as CIF:
```
data_Ba2CrCl
_cell_length_a 4.327
_cell_length_b 4.147
_cell_length_c 9.166
_cell_angle_alpha 90.00
_cell_angle_beta 90.48
_cell_angle_gamma 90.00
_space_group_name_H-M_alt 'P 1 2/m 1'
_space_group_IT_number 10
_space_group_name_Hall '-P 2y'
loop_
_atom_site_label
_atom_site_type_symbol
_atom_site_fract_x
_atom_site_fract_y
_atom_site_fract_z
_atom_site_occupancy
Ba1 Ba 0.004 0.000 0.232 1
Cr1 Cr 0.500 0.500 0.000 1
Cl1 Cl 0.000 0.500 0.500 1
```